# 1
YSe5: optimized geometry, PBE.

Values from the calculation:
E_form (uncorrected): -0.671 eV per atom
space group: Amm2

a = 11.9746 Å, b = 11.9746 Å, c = 3.7922 Å
α = 90.00°, β = 90.00°, γ = 161.79°
Fractional positions:
Y (0.0193, 0.9807, 0.0000)
Se (0.7908, 0.2092, 0.5000)
Se (0.6208, 0.3792, 0.0000)
Se (0.4743, 0.5257, 0.5000)
Se (0.3078, 0.6922, 0.0000)
Se (0.1203, 0.8797, 0.5000)


# 2
Y2Se: optimized geometry, PBE.

Values from the calculation:
E_form (uncorrected): -1.143 eV per atom
space group: P-3m1

a = 3.8867 Å, b = 3.8867 Å, c = 6.4853 Å
α = 90.00°, β = 90.00°, γ = 120.00°
Fractional positions:
Y (0.6667, 0.3333, 0.7231)
Y (0.3333, 0.6667, 0.2769)
Se (0.0000, 0.0000, 0.0000)


# 3
Y2Se: optimized geometry, PBE.

Values from the calculation:
E_form (uncorrected): -1.053 eV per atom
space group: I4_1/amd

a = 6.7958 Å, b = 6.7958 Å, c = 6.7958 Å
α = 131.08°, β = 131.08°, γ = 71.69°
Fractional positions:
Y (0.9940, 0.4940, 0.5000)
Y (0.7560, 0.7560, 0.0000)
Y (0.5060, 0.0060, 0.5000)
Y (0.2440, 0.2440, 0.0000)
Se (0.2500, 0.7500, 0.5000)
Se (0.5000, 0.5000, 0.0000)